RbTlAu | PBE | optimized geometry

Output
calculated volume = 109 Å³ per cell
theoretical density = 7.411 Mg/m³
SG = P-6m2 (187)
ΔE_f = -0.15 eV/atom

Geometry as POSCAR:
```
RbTlAu
1.0
-1.823 -4.312 -1.306
0.656 -1.715 4.748
-4.375 2.247 -1.313
Tl Au Rb
1 1 1
direct
0.167 0.333 0.667 Tl
0.166 0.000 0.000 Au
0.667 0.667 0.333 Rb
```


ZnFe2Si | PBE | optimized geometry

Output
calculated volume = 47 Å³ per cell
theoretical density = 7.192 Mg/m³
ΔE_f (raw) = -0.072 eV per atom
SG = P4/mmm (123)

Geometry as POSCAR:
```
ZnFe2Si
1.0
3.658 0.000 0.000
0.000 3.655 0.000
0.000 0.000 3.543
Fe Si Zn
2 1 1
direct
0.000 0.000 0.000 Fe
0.500 0.500 0.000 Fe
0.500 0.000 0.500 Si
0.000 0.500 0.500 Zn
```